Here is a relaxed CaTm2PaBi4 crystal from Alexandria via LeMat-Bulk. Energies are from PBE.

Calculated values
The calculation puts the total energy at -5.11 eV per atom.

Cell: 7.7518 4.4742 7.7757 Å, 90.00 108.97 90.00°
Last column: nearest neighbours and their distance in Å.
Space group P2/m (No. 10)
Inequivalent atoms, fractional coordinates:
Ca1 0.0000 0.0000 0.0000 x1  6 Bi 3.19-3.22
Tm1 0.5000 0.0000 0.5000 x1  6 Bi 3.13-3.14
Tm2 0.5000 0.5000 0.0000 x1  6 Bi 3.16-3.17
Pa1 0.0000 0.5000 0.5000 x1  6 Bi 3.15-3.19
Bi1 0.2550 0.0000 0.7496 x2  3 Tm 3.13-3.16, 2 Pa 3.19, 1 Ca 3.19
Bi2 0.2553 0.5000 0.2573 x2  3 Tm 3.14-3.17, 1 Pa 3.15, 2 Ca 3.22

Here is a relaxed VBi2Cl crystal from Alexandria via LeMat-Bulk. Energies are from PBE.

Calculated values
The value obtained for the relative energy among the computed polymorphs is 71.7 meV/atom. The calculation puts the total energy at -4.26 eV per atom. The calculation puts the uncorrected formation energy at 1.68 eV/f.u.

Cell: 5.8985 5.8985 15.8887 Å, 90.00 90.00 90.00°
Last column: nearest neighbours and their distance in Å.
Space group I-42d (No. 122)
Inequivalent atoms, fractional coordinates:
V1 0.0000 0.0000 0.0000 x4  4 Bi 2.67
Bi1 0.1720 0.2500 0.1250 x8  2 V 2.67
Cl1 0.0000 0.0000 0.5000 x4  4 Bi 3.14

Here is a relaxed NbBiCl2 crystal from Alexandria via LeMat-Bulk. Energies are from PBE.

Calculated values
The value obtained for the relative energy among the computed polymorphs is 0.0 meV/atom. The calculation puts the total energy at -5.01 eV per atom. The calculation puts the uncorrected formation energy at -2.40 eV/f.u.

Cell: 3.2426 3.2426 37.2999 Å, 90.00 90.00 120.00°
Last column: nearest neighbours and their distance in Å.
Space group R-3m (No. 166, hexagonal axes)
Inequivalent atoms, fractional coordinates:
Nb1 0.0000 0.0000 0.0000 x3  6 Cl 2.56
Bi1 0.0000 0.0000 0.5000 x3  6 Bi 3.24
Cl1 0.0000 0.0000 0.3803 x6  3 Nb 2.56

Here is a relaxed TlAg2RhN crystal from Alexandria via LeMat-Bulk. Energies are from PBE.

Calculated values
The calculation puts the total energy at -2.71 eV per atom. The calculation puts the uncorrected formation energy at 10.17 eV/f.u.

Cell: 5.3605 5.3605 5.1227 Å, 90.00 90.00 90.00°
Last column: nearest neighbours and their distance in Å.
Space group P4/mmm (No. 123)
Inequivalent atoms, fractional coordinates:
Tl1 0.0000 0.0000 0.0000 x1  2 Rh 2.56, 4 Ag 2.68
Ag1 0.0000 0.5000 0.0000 x2  2 Tl 2.68
Rh1 0.0000 0.0000 0.5000 x1  2 Tl 2.56
N1 0.5000 0.5000 0.5000 x1  8 Ag 3.71, 4 Rh 3.79

Here is a relaxed Eu3CuH crystal from Alexandria via LeMat-Bulk. Energies are from PBE.

Calculated values
The calculation puts the total energy at -7.73 eV per atom.

Cell: 5.0072 5.0072 5.0072 Å, 90.00 90.00 90.00°
Last column: nearest neighbours and their distance in Å.
Space group Pm-3m (No. 221)
Inequivalent atoms, fractional coordinates:
Eu1 0.0000 0.0000 0.5000 x3  2 H 2.50
Cu1 0.5000 0.5000 0.5000 x1  12 Eu 3.54
H1 0.0000 0.0000 0.0000 x1  6 Eu 2.50

Here is a relaxed Tb4Dy3ErSe8 crystal from Alexandria via LeMat-Bulk. Energies are from PBE.

Calculated values
The calculation puts the total energy at -5.80 eV per atom. The calculation puts the uncorrected formation energy at -27.98 eV/f.u.

Cell: 8.1536 8.1536 20.0350 Å, 90.00 90.00 120.00°
Last column: nearest neighbours and their distance in Å.
Space group R-3m (No. 166, hexagonal axes)
Inequivalent atoms, fractional coordinates:
Tb1 0.0000 0.0000 0.0000 x3  6 Se 2.91
Tb2 0.0000 0.5000 0.0000 x9  6 Se 2.89
Dy1 0.0000 0.5000 0.5000 x9  6 Se 2.88
Er1 0.0000 0.0000 0.5000 x3  6 Se 2.86
Se1 0.0000 0.0000 0.2493 x6  3 Dy 2.88, 3 Tb 2.89
Se2 0.0018 0.5009 0.2488 x18  1 Er 2.86, 2 Dy 2.88, 3 Tb 2.89-2.91

Here is a relaxed La4SiPbN crystal from Alexandria via LeMat-Bulk. Energies are from PBE.

Calculated values
The calculation puts the total energy at -6.09 eV per atom. The calculation puts the uncorrected formation energy at -5.47 eV/f.u.

Cell: 6.9020 17.1533 6.9445 Å, 90.00 90.00 90.00°
Last column: nearest neighbours and their distance in Å.
Space group Cmcm (No. 63)
Inequivalent atoms, fractional coordinates:
La1 0.0000 0.0629 0.2500 x4  1 Si 3.07
La2 0.0000 0.4147 0.2500 x4  1 N 2.39
La3 0.2500 0.2500 0.0000 x8  2 N 2.49
Si1 0.0000 0.1163 0.7500 x4  5 La 3.07-3.35
Pb1 0.0000 0.3922 0.7500 x4  9 La 3.31-3.54
N1 0.0000 0.2752 0.2500 x4  5 La 2.39-2.49

Here is a relaxed Ag2BiIO2 crystal from Alexandria via LeMat-Bulk. Energies are from PBE.

Calculated values
The calculation puts the total energy at -4.02 eV per atom. The calculation puts the uncorrected formation energy at -3.07 eV/f.u.

Cell: 6.0196 5.6174 8.2550 Å, 90.00 105.45 90.00°
Last column: nearest neighbours and their distance in Å.
Space group P2_1/m (No. 11)
Inequivalent atoms, fractional coordinates:
Ag1 0.0082 0.2500 0.2289 x2  2 O 2.38
Ag2 0.2986 0.7500 0.1130 x2  2 O 2.42
Bi1 0.3784 0.7500 0.5673 x2  4 O 2.21
I1 0.2200 0.2500 0.9057 x2  7 Ag 2.94-3.26
O1 0.3281 0.0020 0.3557 x4  2 Bi 2.21, 2 Ag 2.38-2.42

Here is a relaxed TmZrMnOs crystal from Alexandria via LeMat-Bulk. Energies are from PBE.

Calculated values
The calculation puts the total energy at -8.49 eV per atom.

Cell: 6.6760 6.6760 6.6760 Å, 90.00 90.00 90.00°
Last column: nearest neighbours and their distance in Å.
Space group F-43m (No. 216)
Inequivalent atoms, fractional coordinates:
Tm1 0.0000 0.0000 0.0000 x4  4 Mn 2.89, 4 Os 2.89
Zr1 0.0000 0.0000 0.5000 x4  4 Os 2.89, 4 Mn 2.89
Mn1 0.2500 0.2500 0.2500 x4  4 Zr 2.89, 4 Tm 2.89
Os1 0.2500 0.2500 0.7500 x4  4 Zr 2.89, 4 Tm 2.89

Here is a relaxed TlIr2Cl crystal from Alexandria via LeMat-Bulk. Energies are from PBE.

Calculated values
The value obtained for the relative energy among the computed polymorphs is 452.5 meV/atom. The calculation puts the total energy at -4.73 eV per atom. The calculation puts the uncorrected formation energy at 3.03 eV/f.u.

Cell: 3.0219 4.7398 4.9535 Å, 90.00 90.39 90.00°
Last column: nearest neighbours and their distance in Å.
Space group P2/m (No. 10)
Inequivalent atoms, fractional coordinates:
Tl1 0.0000 0.0000 0.0000 x1  4 Ir 2.84, 4 Cl 2.89-2.91, 2 Tl 3.02
Ir1 0.2741 0.5000 0.7313 x2  3 Ir 2.68-2.98, 2 Cl 2.72, 2 Tl 2.84
Cl1 0.5000 0.0000 0.5000 x1  4 Ir 2.72, 4 Tl 2.89-2.91, 2 Cl 3.02

Here is a relaxed IrRh3 crystal from Alexandria via LeMat-Bulk. Energies are from PBE.

Calculated values
The calculation puts the total energy at -7.73 eV per atom.

Cell: 2.7250 3.8462 5.4423 Å, 90.00 90.00 90.00°
Last column: nearest neighbours and their distance in Å.
Space group Pmmm (No. 47)
Inequivalent atoms, fractional coordinates:
Ir1 0.0000 0.0000 0.0000 x1  10 Rh 2.72, 2 Ir 2.73
Rh1 0.0000 0.0000 0.5000 x1  2 Ir 2.72, 10 Rh 2.73
Rh2 0.5000 0.5000 0.2477 x2  8 Rh 2.70-2.75, 4 Ir 2.72

Here is a relaxed La2Tb3YTe6 crystal from Alexandria via LeMat-Bulk. Energies are from PBE.

Calculated values
The calculation puts the total energy at -5.49 eV per atom. The calculation puts the uncorrected formation energy at -16.86 eV/f.u.

Cell: 19.3594 4.4204 8.9333 Å, 90.00 103.46 90.00°
Last column: nearest neighbours and their distance in Å.
Space group C2/m (No. 12)
Inequivalent atoms, fractional coordinates:
La1 0.1669 0.0000 0.3338 x4  6 Te 3.21-3.24
Tb1 0.0000 0.5000 0.5000 x2  6 Te 3.07-3.15
Tb2 0.1707 0.0000 0.8347 x4  6 Te 3.08-3.12
Y1 0.0000 0.5000 0.0000 x2  6 Te 3.10-3.14
Te1 0.0050 0.0000 0.7531 x4  3 Tb 3.12-3.15, 2 Y 3.14, 1 La 3.24
Te2 0.1629 0.5000 0.5918 x4  3 Tb 3.07-3.08, 3 La 3.21
Te3 0.1644 0.5000 0.0718 x4  3 Tb 3.08-3.11, 1 Y 3.10, 2 La 3.21

Here is a relaxed Cd12In3Sn crystal from Alexandria via LeMat-Bulk. Energies are from PBE.

Calculated values
The calculation puts the total energy at -1.41 eV per atom.

Cell: 4.5817 4.5817 18.1015 Å, 90.00 90.00 90.00°
Last column: nearest neighbours and their distance in Å.
Space group P4/mmm (No. 123)
Inequivalent atoms, fractional coordinates:
Cd1 0.0000 0.0000 0.0000 x1  8 Cd 3.23, 4 Sn 3.24
Cd2 0.0000 0.0000 0.2492 x2  8 Cd 3.20-3.23, 4 In 3.24
Cd3 0.0000 0.0000 0.5000 x1  8 Cd 3.22, 4 In 3.24
Cd4 0.0000 0.5000 0.1260 x4  8 Cd 3.20-3.24, 2 In 3.22, 2 Sn 3.23
Cd5 0.0000 0.5000 0.3747 x4  4 In 3.21-3.22, 8 Cd 3.22-3.24
In1 0.5000 0.5000 0.2508 x2  12 Cd 3.21-3.24
In2 0.5000 0.5000 0.5000 x1  12 Cd 3.22-3.24
Sn1 0.5000 0.5000 0.0000 x1  12 Cd 3.23-3.24

Here is a relaxed Li2AgIr crystal from Alexandria via LeMat-Bulk. Energies are from PBE.

Calculated values
The calculation puts the total energy at -3.90 eV per atom.

Cell: 2.8615 4.7124 8.7353 Å, 90.00 90.00 90.00°
Last column: nearest neighbours and their distance in Å.
Space group Immm (No. 71)
Inequivalent atoms, fractional coordinates:
Li1 0.0000 0.0000 0.2464 x4  2 Ir 2.58, 2 Ag 2.64, 6 Li 2.76-2.86
Ag1 0.0000 0.5000 0.0000 x2  4 Li 2.64, 4 Ir 2.76, 2 Ag 2.86
Ir1 0.0000 0.5000 0.5000 x2  4 Li 2.58, 4 Ag 2.76, 2 Ir 2.86

Here is a relaxed ZnAgW2 crystal from Alexandria via LeMat-Bulk. Energies are from PBE.

Calculated values
The calculation puts the total energy at -6.94 eV per atom.

Cell: 4.0194 4.0194 7.8807 Å, 90.00 90.00 90.00°
Last column: nearest neighbours and their distance in Å.
Space group I-4m2 (No. 119)
Inequivalent atoms, fractional coordinates:
Zn1 0.0000 0.0000 0.0000 x2  8 W 2.81-2.84, 4 Ag 2.81
Ag1 0.0000 0.5000 0.7500 x2  8 W 2.81-2.84, 4 Zn 2.81
W1 0.0000 0.0000 0.5000 x2  4 W 2.81, 4 Ag 2.81, 4 Zn 2.84
W2 0.0000 0.5000 0.2500 x2  4 W 2.81, 4 Zn 2.81, 4 Ag 2.84

Here is a relaxed TlPIr2 crystal from Alexandria via LeMat-Bulk. Energies are from PBE.

Calculated values
The value obtained for the relative energy among the computed polymorphs is 592.4 meV/atom. The calculation puts the total energy at -5.73 eV per atom.

Cell: 6.4082 6.4082 6.4082 Å, 90.00 90.00 90.00°
Last column: nearest neighbours and their distance in Å.
Space group Fm-3m (No. 225)
Inequivalent atoms, fractional coordinates:
Tl1 0.0000 0.0000 0.0000 x4  8 Ir 2.77
P1 0.0000 0.0000 0.5000 x4  8 Ir 2.77
Ir1 0.2500 0.2500 0.2500 x8  4 Tl 2.77, 4 P 2.77

Here is a relaxed NdNi3 crystal from Alexandria via LeMat-Bulk. Energies are from PBE.

Calculated values
The calculation puts the total energy at -5.84 eV per atom.

Cell: 5.0409 5.0409 24.8027 Å, 90.00 90.00 120.00°
Last column: nearest neighbours and their distance in Å.
Space group R-3m (No. 166, hexagonal axes)
Inequivalent atoms, fractional coordinates:
Nd1 0.0000 0.0000 0.0000 x3  18 Ni 2.91-3.22
Nd2 0.0000 0.0000 0.1387 x6  12 Ni 2.90-3.18, 3 Nd 3.22
Ni1 0.0000 0.0000 0.3327 x6  6 Ni 2.47-2.49
Ni2 0.0000 0.0000 0.5000 x3  6 Ni 2.58
Ni3 0.0009 0.5005 0.0808 x18  7 Ni 2.47-2.58

Here is a relaxed Na2Hg3Pb crystal from Alexandria via LeMat-Bulk. Energies are from PBE.

Calculated values
The value obtained for the relative energy among the computed polymorphs is 0.0 meV/atom. The calculation puts the total energy at -1.39 eV per atom.

Cell: 3.5696 3.5696 12.5408 Å, 90.00 90.00 90.00°
Last column: nearest neighbours and their distance in Å.
Space group P4/mmm (No. 123)
Inequivalent atoms, fractional coordinates:
Na1 0.0000 0.0000 0.1649 x2  8 Hg 3.18-3.26
Hg1 0.5000 0.5000 0.0000 x1  8 Na 3.26, 4 Hg 3.57
Hg2 0.5000 0.5000 0.3192 x2  4 Na 3.18, 4 Pb 3.39
Pb1 0.0000 0.0000 0.5000 x1  8 Hg 3.39, 4 Pb 3.57

Here is a relaxed Pr3Ge6Pt2Au crystal from Alexandria via LeMat-Bulk. Energies are from PBE.

Calculated values
The calculation puts the total energy at -5.18 eV per atom.

Cell: 6.0310 6.0310 8.4309 Å, 90.00 90.00 120.00°
Last column: nearest neighbours and their distance in Å.
Space group P-3m1 (No. 164)
Inequivalent atoms, fractional coordinates:
Pr1 0.0000 0.0000 0.0000 x1  6 Ge 3.06
Pr2 0.3333 0.6667 0.6325 x2  9 Ge 3.12-3.35, 1 Pt 3.27
Ge1 0.1896 0.3791 0.2773 x6  2 Ge 2.60, 1 Pt 2.63, 1 Au 2.73
Pt1 0.3333 0.6667 0.0208 x2  3 Ge 2.63
Au1 0.0000 0.0000 0.5000 x1  6 Ge 2.73

Here is a relaxed ZrTa3 crystal from Alexandria via LeMat-Bulk. Energies are from PBE.

Calculated values
The value obtained for the relative energy among the computed polymorphs is 159.9 meV/atom. The calculation puts the total energy at -10.78 eV per atom.

Cell: 4.9800 5.6117 5.6367 Å, 90.00 90.00 90.00°
Last column: nearest neighbours and their distance in Å.
Space group Pmmn (No. 59, origin choice 2)
Inequivalent atoms, fractional coordinates:
Zr1 0.2500 0.2500 0.1213 x2  6 Ta 2.82-3.10
Ta1 0.2500 0.0018 0.6299 x4  7 Ta 2.79-3.07, 1 Zr 3.10
Ta2 0.2500 0.7500 0.1687 x2  4 Zr 2.82-2.98, 6 Ta 2.96-3.07